Version P
This record from the Alexandria database describes a geometry-optimized Pm2Y2Al structure. The functional is PBE.

a = 4.275 Å, b = 4.275 Å, c = 17.784 Å
α = 90.00°, β = 90.00°, γ = 90.00°
Space group I4/mmm (No. 139)
Unique sites:
Pm 0.000 0.500 0.250 [4 per cell]
Y 0.000 0.000 0.085 [4 per cell]
Al 0.000 0.000 0.500 [2 per cell]

***

Version Q
This record from the Alexandria database describes a geometry-optimized Pm2Y2Al structure. The functional is PBE.

a = 3.556 Å, b = 3.556 Å, c = 23.587 Å
α = 90.00°, β = 90.00°, γ = 90.00°
Space group I4/mmm (No. 139)
Unique sites:
Pm 0.000 0.000 0.193 [4 per cell]
Y 0.000 0.000 0.419 [4 per cell]
Al 0.000 0.000 0.000 [2 per cell]

***

Compare the structures above. Which one is the least stable? version P is.